Entry 1:
Computed, not measured: crystalline Cu2SiHg at its relaxed geometry at the PBE-GGA level of DFT.

Results
The density of states at the Fermi level comes out at 2.2 states/eV/f.u. The calculated volume comes out at 61 Å³/cell. The uncorrected formation energy comes out at 308 meV/atom. The calculation puts the energy relative to the lowest polymorph listed for this composition at 140 meV/atom.

a = 3.983 Å, b = 3.983 Å, c = 3.837 Å
α = 90.00°, β = 90.00°, γ = 90.00°
Space group P4/mmm (No. 123)
One atom of each set of equivalent atoms:
Cu (0.000, 0.500, 0.000) [2 per cell]
Si (0.000, 0.000, 0.500) [1 per cell]
Hg (0.500, 0.500, 0.500) [1 per cell]

Entry 2:
Computed, not measured: crystalline Cu2SiHg2 at its relaxed geometry at the PBE-GGA level of DFT.

Results
The density of states at the Fermi level comes out at 1.6 states/eV/f.u. The calculated volume comes out at 175 Å³/cell. The uncorrected formation energy comes out at 298 meV/atom.

a = 6.452 Å, b = 6.452 Å, c = 4.196 Å
α = 90.00°, β = 90.00°, γ = 90.00°
Space group P4/mbm (No. 127)
One atom of each set of equivalent atoms:
Cu (0.149, 0.351, 0.000) [4 per cell]
Si (0.000, 0.000, 0.000) [2 per cell]
Hg (0.162, 0.662, 0.500) [4 per cell]

Entry 3:
Computed, not measured: crystalline SmCuHg at its relaxed geometry at the PBE-GGA level of DFT.

Results
The density of states at the Fermi level comes out at 1.4 states/eV/f.u. The calculated volume comes out at 133 Å³/cell. The formation energy comes out at -0.208 eV per atom.

a = 3.693 Å, b = 3.693 Å, c = 9.779 Å
α = 90.00°, β = 90.00°, γ = 90.00°
Space group I4mm (No. 107)
One atom of each set of equivalent atoms:
Sm (0.000, 0.000, 0.000) [2 per cell]
Cu (0.000, 0.000, 0.328) [2 per cell]
Hg (0.000, 0.000, 0.687) [2 per cell]